{"formula": "Ce4Ni2N", "functional": "GGA-PBE", "state": "relaxed", "raw_formation_energy_mev_per_atom": -458, "space_group": "I4/mmm, No. 139", "cell": [[-2.419, 2.419, 6.592], [2.419, -2.419, 6.592], [2.419, 2.419, -6.592]], "species": ["Ce", "Ce", "Ce", "Ce", "Ni", "Ni", "N"], "fractional_positions": [[0.000, 0.500, 0.500], [0.190, 0.190, 0.000], [0.500, 0.000, 0.500], [0.810, 0.810, 0.000], [0.381, 0.381, 0.000], [0.619, 0.619, 0.000], [0.000, 0.000, 0.000]]}

---

{"formula": "InRhSeN2", "functional": "GGA-PBE", "state": "relaxed", "e_above_lowest_polymorph_ev_per_fu": 4.37, "raw_formation_energy_mev_per_atom": 1741, "space_group": "P4/mmm, No. 123", "cell": [[4.097, 0.000, 0.000], [0.000, 4.097, 0.000], [0.000, 0.000, 5.681]], "species": ["In", "Rh", "Se", "N", "N"], "fractional_positions": [[0.000, 0.000, 0.000], [0.500, 0.500, 0.500], [0.000, 0.000, 0.500], [0.000, 0.500, 0.000], [0.500, 0.000, 0.000]]}

---

{"formula": "Na2TaF", "functional": "GGA-PBE", "state": "relaxed", "e_above_lowest_polymorph_ev_per_fu": 0.00, "raw_formation_energy_mev_per_atom": 135, "space_group": "I-42d, No. 122", "cell": [[-3.359, 3.359, 4.241], [3.359, -3.359, 4.241], [3.359, 3.359, -4.241]], "species": ["Na", "Na", "Na", "Na", "Ta", "Ta", "F", "F"], "fractional_positions": [[0.375, 0.229, 0.354], [0.771, 0.125, 0.146], [0.875, 0.021, 0.646], [0.979, 0.625, 0.854], [0.250, 0.750, 0.500], [0.500, 0.500, 0.000], [0.000, 0.000, 0.000], [0.750, 0.250, 0.500]]}

---

{"formula": "LaGeSb2Cl", "functional": "GGA-PBE", "state": "relaxed", "raw_formation_energy_mev_per_atom": 76, "space_group": "P4/mmm, No. 123", "cell": [[6.141, 0.000, 0.000], [0.000, 6.141, 0.000], [0.000, 0.000, 5.308]], "species": ["La", "Ge", "Sb", "Sb", "Cl"], "fractional_positions": [[0.000, 0.000, 0.000], [0.500, 0.500, 0.500], [0.000, 0.500, 0.000], [0.500, 0.000, 0.000], [0.000, 0.000, 0.500]]}

---

{"formula": "YGaSb2", "functional": "GGA-PBE", "state": "relaxed", "e_above_lowest_polymorph_ev_per_fu": 0.51, "raw_formation_energy_mev_per_atom": -329, "space_group": "I-42d, No. 122", "cell": [[-3.782, 3.782, 4.074], [3.782, -3.782, 4.074], [3.782, 3.782, -4.074]], "species": ["Y", "Y", "Ga", "Ga", "Sb", "Sb", "Sb", "Sb"], "fractional_positions": [[0.000, 0.000, 0.000], [0.750, 0.250, 0.500], [0.250, 0.750, 0.500], [0.500, 0.500, 0.000], [0.171, 0.625, 0.046], [0.375, 0.421, 0.546], [0.579, 0.125, 0.954], [0.875, 0.829, 0.454]]}

---

{"formula": "K2TlCrI6", "functional": "GGA-PBE", "state": "relaxed", "raw_formation_energy_mev_per_atom": -843, "space_group": "R3, No. 146", "cell": [[4.238, 2.447, 6.941], [-4.238, 2.447, 6.941], [0.000, -4.894, 6.941]], "species": ["K", "K", "Tl", "Cr", "I", "I", "I", "I", "I", "I"], "fractional_positions": [[0.000, 0.000, 0.000], [0.487, 0.487, 0.487], [0.211, 0.211, 0.211], [0.704, 0.704, 0.704], [0.018, 0.487, 0.834], [0.386, 0.911, 0.581], [0.487, 0.834, 0.018], [0.581, 0.386, 0.911], [0.834, 0.018, 0.487], [0.911, 0.581, 0.386]]}

---

{"formula": "Ac2Dy5Ho4", "functional": "GGA-PBE", "state": "relaxed", "ef_ev_per_fu": 2.058, "space_group": "C2/m, No. 12", "cell": [[12.174, -1.751, 0.000], [12.174, 1.751, 0.000], [-0.993, 0.000, 8.778]], "species": ["Ac", "Ac", "Dy", "Dy", "Dy", "Dy", "Dy", "Ho", "Ho", "Ho", "Ho"], "fractional_positions": [[0.091, 0.091, 0.245], [0.909, 0.909, 0.755], [0.144, 0.144, 0.631], [0.235, 0.235, 0.327], [0.500, 0.500, 0.500], [0.765, 0.765, 0.673], [0.856, 0.856, 0.369], [0.049, 0.049, 0.857], [0.320, 0.320, 0.026], [0.680, 0.680, 0.974], [0.951, 0.951, 0.143]]}

---

{"formula": "Na5B7C3", "functional": "GGA-PBE", "state": "relaxed", "e_above_lowest_polymorph_ev_per_fu": 0.35, "ef_ev_per_fu": 2.045, "space_group": "P-1, No. 2", "cell": [[4.935, 0.000, 0.000], [-2.130, 7.328, 0.000], [-0.143, -2.941, 8.613]], "species": ["Na", "Na", "Na", "Na", "Na", "Na", "Na", "Na", "Na", "Na", "B", "B", "B", "B", "B", "B", "B", "B", "B", "B", "B", "B", "B", "B", "C", "C", "C", "C", "C", "C"], "fractional_positions": [[0.000, 0.000, 0.000], [0.099, 0.200, 0.499], [0.203, 0.401, 0.002], [0.298, 0.597, 0.497], [0.394, 0.798, 0.001], [0.500, 0.000, 0.500], [0.606, 0.202, 0.999], [0.702, 0.403, 0.503], [0.797, 0.599, 0.998], [0.901, 0.800, 0.501], [0.019, 0.694, 0.750], [0.187, 0.698, 0.249], [0.230, 0.114, 0.749], [0.288, 0.886, 0.749], [0.342, 0.306, 0.250], [0.348, 0.075, 0.251], [0.394, 0.490, 0.751], [0.606, 0.510, 0.249], [0.652, 0.925, 0.749], [0.658, 0.694, 0.750], [0.712, 0.114, 0.251], [0.770, 0.886, 0.251], [0.813, 0.302, 0.751], [0.981, 0.306, 0.250], [0.063, 0.488, 0.752], [0.105, 0.895, 0.251], [0.478, 0.298, 0.751], [0.522, 0.702, 0.249], [0.895, 0.105, 0.749], [0.937, 0.512, 0.248]]}